[1]
This record from Alexandria via LeMat-Bulk describes a relaxed structure of ZrMn2TeOs. The functional is GGA-PBEsol.

For the density of states at the Fermi level, the calculation gives 3.98 states/eV/f.u. The value obtained for the calculated total energy is -36.100 eV per cell. The uncorrected formation energy comes out at 1.65 eV/atom.

Cell: 4.5948 4.5948 5.2390 Å, 90.00 90.00 90.00°
Element x y z (fractional)
Zr 0.0000 0.0000 0.0000
Mn 0.0000 0.5000 0.5000
Mn 0.5000 0.0000 0.5000
Te 0.0000 0.0000 0.5000
Os 0.5000 0.5000 0.0000



[2]
This record from Alexandria via LeMat-Bulk describes a relaxed structure of TiMn2Os. The functional is GGA-PBEsol.

For the density of states at the Fermi level, the calculation gives 6.16 states/eV/f.u. The value obtained for the calculated total energy is -40.299 eV per cell. The energy relative to the elements comes out at -0.06 eV/atom.

Cell: 4.1271 4.1271 4.1271 Å, 60.00 60.00 60.00°
Element x y z (fractional)
Ti 0.0000 0.0000 0.0000
Mn 0.2500 0.2500 0.2500
Mn 0.7500 0.7500 0.7500
Os 0.5000 0.5000 0.5000



[3]
This record from Alexandria via LeMat-Bulk describes a relaxed structure of MnTl2Os. The functional is GGA-PBEsol.

For the density of states at the Fermi level, the calculation gives 3.46 states/eV/f.u. The value obtained for the calculated total energy is -25.262 eV per cell. The energy relative to the elements comes out at 0.49 eV/atom.

Cell: 2.9155 2.9561 8.6590 Å, 90.00 99.65 90.00°
Element x y z (fractional)
Mn 0.0000 0.0000 0.0000
Tl 0.2049 0.0000 0.4143
Tl 0.3802 0.5000 0.7594
Os 0.5768 0.5000 0.1542



[4]
This record from Alexandria via LeMat-Bulk describes a relaxed structure of MnTl2Os. The functional is GGA-PBEsol.

For the density of states at the Fermi level, the calculation gives 2.05 states/eV/f.u. The value obtained for the calculated total energy is -23.958 eV per cell. The energy relative to the elements comes out at 0.82 eV/atom.

Cell: 4.7767 4.7767 4.7767 Å, 124.75 124.75 81.95°
Element x y z (fractional)
Mn 0.0000 0.0000 0.0000
Tl 0.2500 0.7500 0.5000
Tl 0.7500 0.2500 0.5000
Os 0.5000 0.5000 0.0000



[5]
This record from Alexandria via LeMat-Bulk describes a relaxed structure of MnTl2Os. The functional is GGA-PBEsol.

For the density of states at the Fermi level, the calculation gives 2.57 states/eV/f.u. The value obtained for the calculated total energy is -23.648 eV per cell. The energy relative to the elements comes out at 0.90 eV/atom.

Cell: 5.4933 5.4933 3.1469 Å, 106.29 106.29 114.68°
Element x y z (fractional)
Mn 0.0000 0.0000 0.0000
Tl 0.0000 0.5000 0.5000
Tl 0.5000 0.0000 0.5000
Os 0.5000 0.5000 0.0000



[6]
This record from Alexandria via LeMat-Bulk describes a relaxed structure of Mn3TlOs. The functional is GGA-PBEsol.

For the density of states at the Fermi level, the calculation gives 4.80 states/eV/f.u. The value obtained for the calculated total energy is -32.144 eV per cell. The energy relative to the elements comes out at 2.40 eV/atom.

Cell: 4.7724 4.7724 4.7724 Å, 90.00 90.00 90.00°
Element x y z (fractional)
Mn 0.0000 0.0000 0.5000
Mn 0.0000 0.5000 0.0000
Mn 0.5000 0.0000 0.0000
Tl 0.0000 0.0000 0.0000
Os 0.5000 0.5000 0.5000



[7]
This record from Alexandria via LeMat-Bulk describes a relaxed structure of MnTl2Os. The functional is GGA-PBEsol.

For the density of states at the Fermi level, the calculation gives 3.09 states/eV/f.u. The value obtained for the calculated total energy is -23.727 eV per cell. The energy relative to the elements comes out at 0.88 eV/atom.

Cell: 3.3215 3.3215 6.3720 Å, 90.00 90.00 90.00°
Element x y z (fractional)
Mn 0.0000 0.0000 0.0000
Tl 0.5000 0.5000 0.2515
Tl 0.5000 0.5000 0.7485
Os 0.0000 0.0000 0.5000



[8]
This record from Alexandria via LeMat-Bulk describes a relaxed structure of Mn2VOs. The functional is GGA-PBEsol.

For the density of states at the Fermi level, the calculation gives 5.51 states/eV/f.u. The value obtained for the calculated total energy is -41.228 eV per cell. The energy relative to the elements comes out at 0.04 eV/atom.

Cell: 4.1230 4.1230 4.1230 Å, 60.00 60.00 60.00°
Element x y z (fractional)
Mn 0.2500 0.2500 0.2500
Mn 0.7500 0.7500 0.7500
V 0.0000 0.0000 0.0000
Os 0.5000 0.5000 0.5000



[9]
This record from Alexandria via LeMat-Bulk describes a relaxed structure of MnOs2W. The functional is GGA-PBEsol.

For the density of states at the Fermi level, the calculation gives 3.62 states/eV/f.u. The value obtained for the calculated total energy is -47.779 eV per cell. The energy relative to the elements comes out at 0.06 eV/atom.

Cell: 3.8132 3.8132 3.7757 Å, 90.00 90.00 90.00°
Element x y z (fractional)
Mn 0.0000 0.0000 0.0000
Os 0.0000 0.5000 0.5000
Os 0.5000 0.0000 0.5000
W 0.5000 0.5000 0.0000



[10]
This record from Alexandria via LeMat-Bulk describes a relaxed structure of MnOs2W. The functional is GGA-PBEsol.

For the density of states at the Fermi level, the calculation gives 4.19 states/eV/f.u. The value obtained for the calculated total energy is -47.366 eV per cell. The energy relative to the elements comes out at 0.16 eV/atom.

Cell: 2.6977 2.6977 7.4783 Å, 90.00 90.00 90.00°
Element x y z (fractional)
Mn 0.0000 0.0000 0.0000
Os 0.0000 0.0000 0.4804
Os 0.5000 0.5000 0.2219
W 0.5000 0.5000 0.7514



[11]
This record from Alexandria via LeMat-Bulk describes a relaxed structure of MnOs2W. The functional is GGA-PBEsol.

For the density of states at the Fermi level, the calculation gives 3.85 states/eV/f.u. The value obtained for the calculated total energy is -47.482 eV per cell. The energy relative to the elements comes out at 0.13 eV/atom.

Cell: 4.6017 4.6017 4.6825 Å, 99.63 99.63 34.15°
Element x y z (fractional)
Mn 0.0000 0.0000 0.0000
Os 0.2561 0.2561 0.7683
Os 0.7439 0.7439 0.2317
W 0.5000 0.5000 0.5000



[12]
This record from Alexandria via LeMat-Bulk describes a relaxed structure of Mn4OsW. The functional is GGA-PBEsol.

For the density of states at the Fermi level, the calculation gives 2.69 states/eV/f.u. The value obtained for the calculated total energy is -65.490 eV per cell. The energy relative to the elements comes out at -0.07 eV/atom.

Cell: 4.6292 4.6292 4.6292 Å, 60.00 60.00 60.00°
Element x y z (fractional)
Mn 0.3765 0.3765 0.3765
Mn 0.3765 0.3765 0.8706
Mn 0.3765 0.8706 0.3765
Mn 0.8706 0.3765 0.3765
Os 0.7500 0.7500 0.7500
W 0.0000 0.0000 0.0000



[13]
This record from Alexandria via LeMat-Bulk describes a relaxed structure of Y2MnOs. The functional is GGA-PBEsol.

For the density of states at the Fermi level, the calculation gives 4.37 states/eV/f.u. The value obtained for the calculated total energy is -35.622 eV per cell. The energy relative to the elements comes out at 0.00 eV/atom.

Cell: 7.5939 7.5939 7.5939 Å, 29.77 29.77 29.77°
Element x y z (fractional)
Y 0.0000 0.0000 0.0000
Y 0.1852 0.1852 0.1852
Mn 0.7506 0.7506 0.7506
Os 0.4331 0.4331 0.4331



[14]
This record from Alexandria via LeMat-Bulk describes a relaxed structure of Y2MnOs. The functional is GGA-PBEsol.

For the density of states at the Fermi level, the calculation gives 2.96 states/eV/f.u. The value obtained for the calculated total energy is -35.178 eV per cell. The energy relative to the elements comes out at 0.11 eV/atom.

Cell: 3.3880 3.3880 7.0174 Å, 90.00 90.00 90.00°
Element x y z (fractional)
Y 0.0000 0.0000 0.2347
Y 0.0000 0.0000 0.7653
Mn 0.5000 0.5000 0.5000
Os 0.5000 0.5000 0.0000



[15]
This record from Alexandria via LeMat-Bulk describes a relaxed structure of Y2MnOs. The functional is GGA-PBEsol.

For the density of states at the Fermi level, the calculation gives 5.21 states/eV/f.u. The value obtained for the calculated total energy is -34.301 eV per cell. The energy relative to the elements comes out at 0.33 eV/atom.

Cell: 4.7547 4.7547 4.7547 Å, 60.00 60.00 60.00°
Element x y z (fractional)
Y 0.0000 0.0000 0.0000
Y 0.2500 0.2500 0.2500
Mn 0.7500 0.7500 0.7500
Os 0.5000 0.5000 0.5000